# CdNiIr2 (PBE, relaxed)
# Total energy = -5.863 eV/atom
# Formation energy = 242 meV/atom
data_CdNiIr2
_chemical_formula_sum 'Cd1 Ni1 Ir2'
_symmetry_space_group_name_H-M 'P 1'
_symmetry_Int_Tables_number 1
_symmetry_space_group_name_Hall 'P 1'
_cell_length_a 4.7369
_cell_length_b 4.7369
_cell_length_c 4.7369
_cell_angle_alpha 130.83
_cell_angle_beta 130.83
_cell_angle_gamma 72.08
loop_
_atom_site_label
_atom_site_type_symbol
_atom_site_fract_x
_atom_site_fract_y
_atom_site_fract_z
_atom_site_occupancy
Cd1 Cd 0.7500 0.2500 0.5000 1
Ir1 Ir 0.0000 0.0000 0.0000 1
Ir2 Ir 0.2500 0.7500 0.5000 1
Ni1 Ni 0.5000 0.5000 0.0000 1


# Rb5Mg4 (PBE, relaxed)
# Total energy = -1.008 eV/atom
# Formation energy = 238 meV/atom
# Energy relative to the lowest polymorph listed for this composition = 0.0000 eV per atom
data_Rb5Mg4
_chemical_formula_sum 'Rb5 Mg4'
_symmetry_space_group_name_H-M 'P 1'
_symmetry_Int_Tables_number 1
_symmetry_space_group_name_Hall 'P 1'
_cell_length_a 9.3908
_cell_length_b 9.3908
_cell_length_c 9.3908
_cell_angle_alpha 94.91
_cell_angle_beta 94.91
_cell_angle_gamma 145.98
loop_
_atom_site_label
_atom_site_type_symbol
_atom_site_fract_x
_atom_site_fract_y
_atom_site_fract_z
_atom_site_occupancy
Rb1 Rb 0.0000 0.0000 0.0000 1
Rb2 Rb 0.3243 0.3243 0.6485 1
Rb3 Rb 0.3243 0.6757 0.0000 1
Rb4 Rb 0.6757 0.3243 0.0000 1
Rb5 Rb 0.6757 0.6757 0.3515 1
Mg1 Mg 0.0000 0.3771 0.3771 1
Mg2 Mg 0.0000 0.6229 0.6229 1
Mg3 Mg 0.3771 0.0000 0.3771 1
Mg4 Mg 0.6229 0.0000 0.6229 1


| no. | M_tot (μB/f.u.) |
| --- | --- |
| 1 | 0.0 |
| 2 | 0.0 |